1.
GGA-PBE K2MnOs, optimized geometry; electronic total energy = -3.814 eV/atom; crystal system = cubic; D(E_F) = 0.71 states/eV/atom; excess energy over the best structure of this formula in the dataset = 1.110 eV per atom; space-group type = Fm-3m (225)
1.0
0.000 3.902 3.902
3.902 0.000 3.902
3.902 3.902 0.000
K Mn Os
2 1 1
Direct
0.250 0.250 0.250
0.750 0.750 0.750
0.000 0.000 0.000
0.500 0.500 0.500



2.
GGA-PBE KMn2Os, optimized geometry; electronic total energy = -6.538 eV/atom; crystal system = orthorhombic; D(E_F) = 1.33 states/eV/atom; excess energy over the best structure of this formula in the dataset = 0.452 eV per atom; space-group type = Immm (71)
1.0
-1.384 2.881 5.396
1.384 -2.881 5.396
1.384 2.881 -5.396
K Mn Os
1 2 1
Direct
0.000 0.000 0.000
0.304 0.804 0.500
0.696 0.196 0.500
0.500 0.500 0.000



3.
GGA-PBE K2MnOs, optimized geometry; electronic total energy = -4.330 eV/atom; crystal system = trigonal; D(E_F) = 0.93 states/eV/atom; excess energy over the best structure of this formula in the dataset = 0.594 eV per atom; space-group type = R-3m (166)
1.0
1.441 0.832 11.869
-1.441 0.832 11.869
0.000 -1.664 11.869
K Mn Os
2 1 1
Direct
0.246 0.246 0.246
0.754 0.754 0.754
0.000 0.000 0.000
0.500 0.500 0.500